# 1
DFT (PBE) results for a relaxed DyNpIr2 crystal.

```
DyNpIr2
1.0
3.402 0.000 0.000
0.000 3.402 0.000
0.000 0.000 6.961
Dy Np Ir
1 1 2
Cartesian
0.000 0.000 0.000 Dy
0.000 0.000 3.481 Np
1.701 1.701 1.831 Ir
1.701 1.701 5.131 Ir
```

* space-group type: P4/mmm
* DFT total energy: -37.28 eV/cell
* crystal system: tetragonal
* energy above the most stable polymorph in this dataset: 0.000 eV/atom


# 2
DFT (PBE) results for a relaxed Dy2NpIr crystal.

```
Dy2NpIr
1.0
1.807 1.043 10.435
-1.807 1.043 10.435
0.000 -2.086 10.435
Dy Np Ir
2 1 1
Cartesian
0.000 0.000 3.444 Dy
0.000 0.000 27.860 Dy
0.000 0.000 0.000 Np
0.000 0.000 15.652 Ir
```

* space-group type: R-3m
* DFT total energy: -30.10 eV/cell
* crystal system: trigonal


# 3
DFT (PBE) results for a relaxed DyNpIr2 crystal.

```
DyNpIr2
1.0
0.000 3.423 3.423
3.423 0.000 3.423
3.423 3.423 0.000
Dy Np Ir
1 1 2
Cartesian
0.000 0.000 0.000 Dy
3.423 3.423 3.423 Np
1.711 1.711 1.711 Ir
5.134 5.134 5.134 Ir
```

* space-group type: Fm-3m
* DFT total energy: -37.27 eV/cell
* crystal system: cubic
* energy above the most stable polymorph in this dataset: 0.001 eV/atom


# 4
DFT (PBE) results for a relaxed DyNpIr2 crystal.

```
DyNpIr2
1.0
1.970 1.137 6.604
-1.970 1.137 6.604
0.000 -2.275 6.604
Dy Np Ir
1 1 2
Cartesian
0.000 0.000 0.000 Dy
0.000 0.000 9.905 Np
0.000 0.000 4.805 Ir
0.000 0.000 15.005 Ir
```

* space-group type: R-3m
* DFT total energy: -36.91 eV/cell
* crystal system: trigonal
* energy above the most stable polymorph in this dataset: 0.092 eV/atom